Here is a relaxed LaGa2CoPb crystal from Alexandria via LeMat-Bulk. Energies are from GGA-PBE.

Computed properties:
**ΔE_f**: -225 meV/atom
**SG**: P4/mmm (123)
**E above lowest polymorph**: 105 meV/atom

Cell lengths 4.6904, 4.6904, 5.0867 Å; angles 90.00, 90.00, 90.00 degrees
Last column: nearest neighbours and their distance in Å.
Sites, in units of the cell vectors:
1 La 0.5000 0.5000 0.5000  4 Pb 3.32, 8 Ga 3.46
2 Co 0.0000 0.0000 0.0000  4 Ga 2.35, 2 Pb 2.54
3 Ga 0.5000 0.0000 0.0000  2 Co 2.35
4 Pb 0.0000 0.0000 0.5000  2 Co 2.54
5 Ga 0.0000 0.5000 0.0000  2 Co 2.35

=====

Here is a relaxed La2GaCoPb crystal from Alexandria via LeMat-Bulk. Energies are from GGA-PBE.

Computed properties:
**ΔE_f**: -489 meV/atom
**SG**: P4/mmm (123)

Cell lengths 5.2866, 5.2866, 4.7067 Å; angles 90.00, 90.00, 90.00 degrees
Last column: nearest neighbours and their distance in Å.
Sites, in units of the cell vectors:
1 La 0.0000 0.5000 0.0000  2 Co 2.64
2 Co 0.0000 0.0000 0.0000  2 Ga 2.35
3 Pb 0.5000 0.5000 0.5000  8 La 3.54, 4 Ga 3.74
4 Ga 0.0000 0.0000 0.5000  2 Co 2.35
5 La 0.5000 0.0000 0.0000  2 Co 2.64

=====

Here is a relaxed LaGa2CoPb crystal from Alexandria via LeMat-Bulk. Energies are from GGA-PBE.

Computed properties:
**ΔE_f**: -330 meV/atom
**SG**: P4/mmm (123)
**E above lowest polymorph**: 0 meV/atom

Cell lengths 4.7566, 4.7566, 5.0634 Å; angles 90.00, 90.00, 90.00 degrees
Last column: nearest neighbours and their distance in Å.
Sites, in units of the cell vectors:
1 Ga 0.5000 0.0000 0.0000  2 Co 2.38
2 Ga 0.0000 0.5000 0.0000  2 Co 2.38
3 Co 0.0000 0.0000 0.0000  4 Ga 2.38, 2 La 2.53
4 Pb 0.5000 0.5000 0.5000  4 La 3.36, 8 Ga 3.47
5 La 0.0000 0.0000 0.5000  2 Co 2.53

=====

Here is a relaxed La2Ga6CoPd crystal from Alexandria via LeMat-Bulk. Energies are from GGA-PBE.

Computed properties:
**ΔE_f**: -427 meV/atom
**SG**: Fm-3m (225)

Cell lengths 6.6749, 6.6749, 6.6749 Å; angles 60.00, 60.00, 90.00 degrees
Last column: nearest neighbours and their distance in Å.
Sites, in units of the cell vectors:
1 Ga 0.2416 0.2416 0.0000  1 Co 2.28, 1 Pd 2.44
2 Ga 0.2416 0.2416 0.5169  1 Co 2.28, 1 Pd 2.44
3 Co 0.0000 0.0000 0.0000  6 Ga 2.28
4 Ga 0.7584 0.7584 0.0000  1 Co 2.28, 1 Pd 2.44
5 La 0.7500 0.2500 0.5000  12 Ga 3.34
6 Ga 0.2416 0.7584 0.0000  1 Co 2.28, 1 Pd 2.44
7 Ga 0.7584 0.7584 0.4831  1 Co 2.28, 1 Pd 2.44
8 La 0.2500 0.7500 0.5000  12 Ga 3.34
9 Pd 0.5000 0.5000 0.0000  6 Ga 2.44
10 Ga 0.7584 0.2416 0.0000  1 Co 2.28, 1 Pd 2.44

=====

Here is a relaxed LaPmGaCo crystal from Alexandria via LeMat-Bulk. Energies are from GGA-PBE.

Computed properties:
**ΔE_f**: -318 meV/atom
**SG**: Amm2 (38)
**E above lowest polymorph**: 0 meV/atom

Cell lengths 3.9360, 4.3423, 6.0968 Å; angles 90.00, 108.83, 90.00 degrees
Last column: nearest neighbours and their distance in Å.
Sites, in units of the cell vectors:
1 Co 0.3429 0.0000 0.6858  2 Ga 2.53
2 Pm 0.0225 0.0000 0.0450  2 Co 2.86, 4 Ga 3.03
3 La 0.7491 0.5000 0.4981  3 Ga 3.09-3.39, 4 Co 3.12
4 Ga 0.4551 0.5000 0.9103  2 Co 2.53

=====

Here is a relaxed LaPmGaCo crystal from Alexandria via LeMat-Bulk. Energies are from GGA-PBE.

Computed properties:
**ΔE_f**: -206 meV/atom
**SG**: F-43m (216)
**E above lowest polymorph**: 111 meV/atom

Cell lengths 5.1293, 5.1293, 5.1293 Å; angles 60.00, 60.00, 60.00 degrees
Last column: nearest neighbours and their distance in Å.
Sites, in units of the cell vectors:
1 La 0.5000 0.5000 0.5000  4 Co 3.14, 4 Ga 3.14
2 Co 0.2500 0.2500 0.2500  4 Pm 3.14, 4 La 3.14
3 Ga 0.7500 0.7500 0.7500  4 Pm 3.14, 4 La 3.14
4 Pm 0.0000 0.0000 0.0000  4 Ga 3.14, 4 Co 3.14

=====

Here is a relaxed LaPrGaCo crystal from Alexandria via LeMat-Bulk. Energies are from GGA-PBE.

Computed properties:
**ΔE_f**: -183 meV/atom
**SG**: F-43m (216)
**E above lowest polymorph**: 112 meV/atom

Cell lengths 5.1704, 5.1704, 5.1704 Å; angles 60.00, 60.00, 60.00 degrees
Last column: nearest neighbours and their distance in Å.
Sites, in units of the cell vectors:
1 Pr 0.0000 0.0000 0.0000  4 Ga 3.17, 4 Co 3.17
2 Ga 0.2500 0.2500 0.2500  4 La 3.17, 4 Pr 3.17
3 La 0.5000 0.5000 0.5000  4 Co 3.17, 4 Ga 3.17
4 Co 0.7500 0.7500 0.7500  4 La 3.17, 4 Pr 3.17

=====

Here is a relaxed LaPrGaCo crystal from Alexandria via LeMat-Bulk. Energies are from GGA-PBE.

Computed properties:
**ΔE_f**: -295 meV/atom
**SG**: Amm2 (38)
**E above lowest polymorph**: 0 meV/atom

Cell lengths 3.9817, 4.3553, 6.1326 Å; angles 90.00, 108.94, 90.00 degrees
Last column: nearest neighbours and their distance in Å.
Sites, in units of the cell vectors:
1 Co 0.4497 0.0000 0.8993  2 Ga 2.53
2 Pr 0.1324 0.0000 0.2649  2 Co 2.91, 4 Ga 3.07
3 Ga 0.5605 0.5000 0.1211  2 Co 2.53
4 La 0.8574 0.5000 0.7147  3 Ga 3.09-3.44, 4 Co 3.14